Entry 1:
LaPm2Tl2Cd2 | PBE | relaxed

Cell: 5.0663 5.0663 9.5831 Å, 74.67 74.67 60.00°
Last column: nearest neighbours and their distance in Å.
Fractional positions:
La (0.0000, 0.0000, 0.0000)  6 Tl 3.43, 2 Pm 3.66
Pm (0.1335, 0.1335, 0.5994)  3 Cd 3.14, 3 Pm 3.44, 3 Tl 3.47
Pm (0.8665, 0.8665, 0.4006)  3 Cd 3.14, 3 Pm 3.44, 3 Tl 3.47
Tl (0.7319, 0.7319, 0.8044)  3 Cd 3.01
Tl (0.2681, 0.2681, 0.1956)  3 Cd 3.01
Cd (0.5748, 0.5748, 0.2757)  3 Tl 3.01, 3 Pm 3.14
Cd (0.4252, 0.4252, 0.7243)  3 Tl 3.01, 3 Pm 3.14

---

Entry 2:
Sc4TiTl5 | PBE | relaxed

Cell: 3.6388 3.6388 17.2573 Å, 90.00 90.00 90.00°
Last column: nearest neighbours and their distance in Å.
Fractional positions:
Sc (0.0000, 0.0000, 0.1900)  8 Tl 3.08-3.14, 1 Ti 3.28
Sc (0.0000, 0.0000, 0.3965)  8 Tl 3.12-3.13
Sc (0.0000, 0.0000, 0.6035)  8 Tl 3.12-3.13
Sc (0.0000, 0.0000, 0.8100)  8 Tl 3.08-3.14, 1 Ti 3.28
Ti (0.0000, 0.0000, 0.0000)  8 Tl 3.02, 2 Sc 3.28
Tl (0.5000, 0.5000, 0.0919)  4 Ti 3.02, 4 Sc 3.08, 1 Tl 3.17
Tl (0.5000, 0.5000, 0.2942)  8 Sc 3.12-3.14, 1 Tl 3.49
Tl (0.5000, 0.5000, 0.5000)  8 Sc 3.13
Tl (0.5000, 0.5000, 0.7058)  8 Sc 3.12-3.14, 1 Tl 3.49
Tl (0.5000, 0.5000, 0.9081)  4 Ti 3.02, 4 Sc 3.08, 1 Tl 3.17

---

E_form readings, ordered: -21.0, -15.1 kJ per mole of atoms